[1]
## Sr2Co2Au (PBE-GGA)

Data for a relaxed structure of Sr2Co2Au.

Results
The formation energy is 0.09 eV/atom. The space group is P4/mbm (127). The density comes out at 7.2 Mg/m³. The value obtained for the final energy is -4.08 eV per atom. For the spin magnetization, the calculation gives 0.4408 μB/atom. For the volume, the calculation gives 224.97 Å³/cell.

POSCAR file:
```
Sr2Co2Au
1.0
-6.5313 -1.5020 2.1349
0.3349 -6.1871 -3.3285
1.6737 -1.9325 3.7607
Sr Au Co
4 2 4
direct
0.1849 0.6849 0.5000
0.6849 0.8151 0.5000
0.8151 0.3151 0.5000
0.3151 0.1849 0.5000
0.0000 0.0000 0.0000
0.5000 0.5000 0.0000
0.3889 0.8889 0.0000
0.8889 0.6111 0.0000
0.6111 0.1111 0.0000
0.1111 0.3889 0.0000
```

[2]
## TbSmY2 (PBE-GGA)

Data for a relaxed structure of TbSmY2.

Results
The formation energy is 0.01 eV/atom. The space group is Imm2 (44). The density comes out at 6.1 Mg/m³. The value obtained for the polymorph energy (0 for the lowest one) is 0.01 eV per formula unit. The value obtained for the final energy is -5.56 eV per atom. For the spin magnetization, the calculation gives 0.0003 μB/atom. For the volume, the calculation gives 132.09 Å³/cell.

POSCAR file:
```
TbSmY2
1.0
-1.1485 -3.3243 -1.0092
5.5485 -3.8935 -0.1145
1.8592 -4.1741 5.0079
Tb Sm Y
1 1 2
direct
0.2500 0.1658 0.3342
0.7500 0.6674 0.8326
0.9993 0.0842 0.9174
0.5007 0.5826 0.4158
```

[3]
## BaH2PdO4 (PBE-GGA)

Data for a relaxed structure of BaH2PdO4.

Results
The space group is I222 (23). The density comes out at 4.8 Mg/m³. The value obtained for the final energy is -5.27 eV per atom. For the spin magnetization, the calculation gives 0.2364 μB/atom. For the volume, the calculation gives 106.55 Å³/cell.

POSCAR file:
```
BaH2PdO4
1.0
4.9247 0.0000 0.0000
2.4623 4.6833 0.2253
2.4623 0.6084 4.6491
Ba H Pd O
1 2 1 4
direct
0.0000 0.0000 0.0000
0.1664 0.3336 0.3336
0.8336 0.6664 0.6664
0.5000 0.5000 0.5000
0.3981 0.2345 0.4081
0.0406 0.7655 0.5919
0.9594 0.4081 0.2345
0.6019 0.5919 0.7655
```

[4]
## Rb4GeSe4 (PBE-GGA)

Data for a relaxed structure of Rb4GeSe4.

Results
The space group is P4_2/nmc (137). The density comes out at 3.5 Mg/m³. The value obtained for the final energy is -3.49 eV per atom. The calculation puts the uncorrected formation energy at -867 kJ/mol of formula units. For the spin magnetization, the calculation gives 0.0000 μB/atom. For the volume, the calculation gives 685.22 Å³/cell.

POSCAR file:
```
Rb4GeSe4
1.0
7.3564 0.0000 0.0000
0.0000 9.6513 0.0000
0.0000 0.0000 9.6513
Rb Ge Se
8 2 8
direct
0.3394 0.2709 0.9997
0.8394 0.5003 0.7709
0.3394 0.7291 0.0003
0.1606 0.2291 0.5003
0.6606 0.9997 0.7291
0.1606 0.7709 0.4997
0.8394 0.4997 0.2291
0.6606 0.0003 0.2709
0.0000 0.0000 0.0000
0.5000 0.5000 0.5000
0.6809 0.7076 0.4998
0.6809 0.2924 0.5002
0.1809 0.9998 0.7924
0.8191 0.2076 0.9998
0.8191 0.7924 0.0002
0.3191 0.4998 0.2924
0.3191 0.5002 0.7076
0.1809 0.0002 0.2076
```

- Which of these has the highest volume?
  Rb4GeSe4